An optimized crystal structure of SrLiNpO5, computed with PBE-GGA.

Structure (POSCAR):
```
SrLiNpO5
1.0
3.5816 -4.7746 0.0000
3.5816 4.7746 0.0000
-3.5409 0.0000 7.2699
Sr Li Np O
2 2 2 10
direct
0.0771 0.9229 0.7500 Sr
0.9229 0.0771 0.2500 Sr
0.4427 0.5573 0.7500 Li
0.5573 0.4427 0.2500 Li
0.0000 0.5000 0.0000 Np
0.5000 0.0000 0.5000 Np
0.1811 0.8189 0.2500 O
0.1925 0.3011 0.0865 O
0.2437 0.6470 0.9027 O
0.3011 0.1925 0.5865 O
0.3530 0.7563 0.5973 O
0.6470 0.2437 0.4027 O
0.6989 0.8075 0.4135 O
0.7563 0.3530 0.0973 O
0.8075 0.6989 0.9135 O
0.8189 0.1811 0.7500 O
```

Output
Space-group type: C2/c (15)
Formation energy (no corrections) (kJ/mol of atoms): -258.35
Total energy (eV/cell): -125.50